(w)
Compound: Gd2Lu2O5
Source: the Open Quantum Materials Database
Functional: PBE-GGA
Structure: relaxed

abc: 7.529 4.203 4.203
angles: 90.00 90.00 90.00
Fractional coordinates of all 9 atoms:
Gd 0.000 0.000 0.000
Gd 0.500 0.000 0.000
Lu 0.228 0.500 0.500
Lu 0.772 0.500 0.500
O 0.233 0.500 0.000
O 0.767 0.500 0.000
O 0.233 0.000 0.500
O 0.767 0.000 0.500
O 0.500 0.500 0.500

## Properties
Space-group type ... No. 123
Calculated volume ... 133.0 Å³/cell
Total moment ... 0.010 Bohr magnetons per cell



(x)
Compound: Gd2Lu2O5
Source: the Open Quantum Materials Database
Functional: PBE-GGA
Structure: relaxed

abc: 9.426 3.877 3.877
angles: 90.00 90.00 90.00
Fractional coordinates of all 9 atoms:
Gd 0.242 0.500 0.500
Gd 0.758 0.500 0.500
Lu 0.000 0.000 0.000
Lu 0.500 0.000 0.000
O 0.139 0.500 0.000
O 0.861 0.500 0.000
O 0.139 0.000 0.500
O 0.861 0.000 0.500
O 0.500 0.500 0.500

## Properties
Space-group type ... No. 123
Calculated volume ... 141.7 Å³/cell
Total moment ... 0.972 Bohr magnetons per cell



How do the energies compare? Relative to the most stable structure, in meV/atom: (w) 29; (x) 0.



(w)
Compound: GdLuZn2Sn2
Source: the Open Quantum Materials Database
Functional: PBE-GGA
Structure: relaxed

abc: 4.488 4.488 15.758
angles: 90.00 90.00 120.00
Fractional coordinates of all 12 atoms:
Gd 0.000 0.000 0.000
Gd 0.000 0.000 0.500
Lu 0.000 0.000 0.250
Lu 0.000 0.000 0.750
Sn 0.667 0.333 0.116
Sn 0.667 0.333 0.384
Sn 0.333 0.667 0.616
Sn 0.333 0.667 0.884
Zn 0.333 0.667 0.163
Zn 0.333 0.667 0.337
Zn 0.667 0.333 0.663
Zn 0.667 0.333 0.837

## Properties
Space-group type ... No. 194
Calculated volume ... 274.8 Å³/cell
Total moment ... 0.003 Bohr magnetons per cell



(x)
Compound: GdLuZn2Sn2
Source: the Open Quantum Materials Database
Functional: PBE-GGA
Structure: relaxed

abc: 4.506 4.506 15.693
angles: 90.00 90.00 120.00
Fractional coordinates of all 12 atoms:
Gd 0.000 0.000 0.250
Gd 0.000 0.000 0.750
Lu 0.000 0.000 0.000
Lu 0.000 0.000 0.500
Sn 0.667 0.333 0.110
Sn 0.667 0.333 0.390
Sn 0.333 0.667 0.610
Sn 0.333 0.667 0.890
Zn 0.333 0.667 0.158
Zn 0.333 0.667 0.342
Zn 0.667 0.333 0.658
Zn 0.667 0.333 0.842

## Properties
Space-group type ... No. 194
Calculated volume ... 276.0 Å³/cell
Total moment ... 0.002 Bohr magnetons per cell



How do the energies compare? Relative to the most stable structure, in meV/atom: (w) 0; (x) 14.



(w)
Compound: GdLuTlTe3
Source: the Open Quantum Materials Database
Functional: PBE-GGA
Structure: relaxed

abc: 8.004 8.004 12.000
angles: 90.00 90.00 147.70
Fractional coordinates of all 12 atoms:
Gd 0.500 0.500 0.000
Gd 0.500 0.500 0.500
Lu 0.944 0.056 0.250
Lu 0.056 0.944 0.750
Te 0.858 0.142 0.037
Te 0.568 0.432 0.250
Te 0.858 0.142 0.463
Te 0.142 0.858 0.537
Te 0.432 0.568 0.750
Te 0.142 0.858 0.963
Tl 0.254 0.746 0.250
Tl 0.746 0.254 0.750

## Properties
Space-group type ... No. 63
Calculated volume ... 410.8 Å³/cell
Total moment ... 0.055 Bohr magnetons per cell



(x)
Compound: GdLuTlTe3
Source: the Open Quantum Materials Database
Functional: PBE-GGA
Structure: relaxed

abc: 7.959 7.959 11.982
angles: 90.00 90.00 148.29
Fractional coordinates of all 12 atoms:
Gd 0.426 0.574 0.250
Gd 0.574 0.426 0.750
Lu 0.000 0.000 0.000
Lu 0.000 0.000 0.500
Te 0.359 0.641 0.018
Te 0.062 0.938 0.250
Te 0.359 0.641 0.482
Te 0.641 0.359 0.518
Te 0.938 0.062 0.750
Te 0.641 0.359 0.982
Tl 0.746 0.254 0.250
Tl 0.254 0.746 0.750

## Properties
Space-group type ... No. 63
Calculated volume ... 399.0 Å³/cell
Total moment ... 0.845 Bohr magnetons per cell



How do the energies compare? Relative to the most stable structure, in meV/atom: (w) 0; (x) 31.



(w)
Compound: Gd5Mg
Source: the Open Quantum Materials Database
Functional: PBE-GGA
Structure: relaxed

abc: 6.497 6.497 5.706
angles: 90.00 90.00 120.00
Fractional coordinates of all 6 atoms:
Gd 0.667 0.333 0.000
Gd 0.333 0.667 0.000
Gd 0.500 0.000 0.500
Gd 0.000 0.500 0.500
Gd 0.500 0.500 0.500
Mg 0.000 0.000 0.000

## Properties
Space-group type ... No. 191
Calculated volume ... 208.6 Å³/cell
Total moment ... 0.032 Bohr magnetons per cell



(x)
Compound: Gd5Mg
Source: the Open Quantum Materials Database
Functional: PBE-GGA
Structure: relaxed

abc: 3.583 3.583 17.027
angles: 90.00 90.00 120.00
Fractional coordinates of all 6 atoms:
Gd 0.667 0.333 0.163
Gd 0.000 0.000 0.333
Gd 0.667 0.333 0.504
Gd 0.000 0.000 0.672
Gd 0.000 0.000 0.994
Mg 0.667 0.333 0.833

## Properties
Space-group type ... No. 187
Calculated volume ... 189.3 Å³/cell
Total moment ... 0.266 Bohr magnetons per cell



How do the energies compare? Relative to the most stable structure, in meV/atom: (w) 398; (x) 0.



(w)
Compound: NaGdMgSe3
Source: the Open Quantum Materials Database
Functional: PBE-GGA
Structure: relaxed

abc: 7.142 7.142 11.235
angles: 90.00 90.00 146.07
Fractional coordinates of all 12 atoms:
Gd 0.000 0.000 0.000
Gd 0.000 0.000 0.500
Mg 0.470 0.530 0.250
Mg 0.530 0.470 0.750
Na 0.753 0.247 0.250
Na 0.247 0.753 0.750
Se 0.364 0.637 0.066
Se 0.082 0.918 0.250
Se 0.364 0.637 0.434
Se 0.637 0.364 0.566
Se 0.918 0.082 0.750
Se 0.637 0.364 0.934

## Properties
Space-group type ... No. 63
Calculated volume ... 319.8 Å³/cell
Total moment ... 0.020 Bohr magnetons per cell



(x)
Compound: NaGdMgSe3
Source: the Open Quantum Materials Database
Functional: PBE-GGA
Structure: relaxed

abc: 13.975 4.192 11.361
angles: 90.00 90.00 90.00
Fractional coordinates of all 24 atoms:
Gd 0.525 0.250 0.152
Gd 0.025 0.250 0.348
Gd 0.975 0.750 0.652
Gd 0.475 0.750 0.848
Mg 0.013 0.750 0.098
Mg 0.513 0.750 0.402
Mg 0.487 0.250 0.598
Mg 0.987 0.250 0.902
Na 0.242 0.250 0.079
Na 0.742 0.250 0.421
Na 0.258 0.750 0.579
Na 0.758 0.750 0.921
Se 0.395 0.750 0.077
Se 0.907 0.250 0.112
Se 0.645 0.750 0.249
Se 0.145 0.750 0.251
Se 0.407 0.250 0.388
Se 0.895 0.750 0.423
Se 0.105 0.250 0.577
Se 0.593 0.750 0.612
Se 0.855 0.250 0.749
Se 0.355 0.250 0.751
Se 0.093 0.750 0.888
Se 0.605 0.250 0.923

## Properties
Space-group type ... No. 62
Calculated volume ... 665.6 Å³/cell
Total moment ... 0.017 Bohr magnetons per cell



How do the energies compare? Relative to the most stable structure, in meV/atom: (w) 7; (x) 0.



(w)
Compound: GdMgPd
Source: the Open Quantum Materials Database
Functional: PBE-GGA
Structure: relaxed

abc: 7.858 7.858 3.834
angles: 90.00 90.00 120.00
Fractional coordinates of all 9 atoms:
Gd 0.270 0.000 0.000
Gd 0.000 0.270 0.000
Gd 0.730 0.730 0.000
Mg 0.608 0.000 0.500
Mg 0.392 0.392 0.500
Mg 0.000 0.608 0.500
Pd 0.667 0.333 0.000
Pd 0.333 0.667 0.000
Pd 0.000 0.000 0.500

## Properties
Space-group type ... No. 189
Calculated volume ... 205.0 Å³/cell
Total moment ... 0.001 Bohr magnetons per cell



(x)
Compound: GdMgPd
Source: the Open Quantum Materials Database
Functional: PBE-GGA
Structure: relaxed

abc: 5.069 5.069 5.898
angles: 90.00 90.00 120.00
Fractional coordinates of all 6 atoms:
Gd 0.667 0.333 0.250
Gd 0.333 0.667 0.750
Mg 0.000 0.000 0.000
Mg 0.000 0.000 0.500
Pd 0.333 0.667 0.250
Pd 0.667 0.333 0.750

## Properties
Space-group type ... No. 194
Calculated volume ... 131.2 Å³/cell
Total moment ... 0.013 Bohr magnetons per cell



(y)
Compound: GdMgPd
Source: the Open Quantum Materials Database
Functional: PBE-GGA
Structure: relaxed

abc: 4.731 4.731 6.719
angles: 90.00 90.00 120.00
Fractional coordinates of all 6 atoms:
Gd 0.000 0.000 0.000
Gd 0.000 0.000 0.500
Mg 0.333 0.667 0.250
Mg 0.667 0.333 0.750
Pd 0.667 0.333 0.250
Pd 0.333 0.667 0.750

## Properties
Space-group type ... No. 194
Calculated volume ... 130.3 Å³/cell
Total moment ... 0.007 Bohr magnetons per cell



How do the energies compare? Relative to the most stable structure, in meV/atom: (w) 81; (x) 0; (y) 45.



(w)
Compound: GdMgPd
Source: the Open Quantum Materials Database
Functional: PBE-GGA
Structure: relaxed

abc: 7.090 7.090 4.469
angles: 90.00 90.00 120.00
Fractional coordinates of all 9 atoms:
Gd 0.553 0.000 0.500
Gd 0.447 0.447 0.500
Gd 0.000 0.553 0.500
Mg 0.667 0.333 0.000
Mg 0.333 0.667 0.000
Mg 0.000 0.000 0.500
Pd 0.246 0.000 0.000
Pd 0.000 0.246 0.000
Pd 0.754 0.754 0.000

## Properties
Space-group type ... No. 189
Calculated volume ... 194.5 Å³/cell
Total moment ... 0.002 Bohr magnetons per cell



(x)
Compound: GdMgPd
Source: the Open Quantum Materials Database
Functional: PBE-GGA
Structure: relaxed

abc: 4.710 4.710 6.798
angles: 90.00 90.00 120.00
Fractional coordinates of all 6 atoms:
Gd 0.000 0.000 0.253
Gd 0.000 0.000 0.753
Mg 0.333 0.667 0.007
Mg 0.667 0.333 0.507
Pd 0.333 0.667 0.490
Pd 0.667 0.333 0.990

## Properties
Space-group type ... No. 186
Calculated volume ... 130.6 Å³/cell
Total moment ... 0.005 Bohr magnetons per cell



How do the energies compare? Relative to the most stable structure, in meV/atom: (w) 132; (x) 0.



(w)
Compound: GdMo
Source: the Open Quantum Materials Database
Functional: PBE-GGA
Structure: relaxed

abc: 4.081 4.081 4.081
angles: 60.00 60.00 60.00
Fractional coordinates of all 2 atoms:
Gd 0.000 0.000 0.000
Mo 0.500 0.500 0.500

## Properties
Space-group type ... No. 225
Calculated volume ... 48.1 Å³/cell
Total moment ... 0.015 Bohr magnetons per cell



(x)
Compound: GdMo
Source: the Open Quantum Materials Database
Functional: PBE-GGA
Structure: relaxed

abc: 3.088 3.088 5.204
angles: 90.00 90.00 120.00
Fractional coordinates of all 2 atoms:
Gd 0.667 0.333 0.750
Mo 0.333 0.667 0.250

## Properties
Space-group type ... No. 187
Calculated volume ... 43.0 Å³/cell
Total moment ... 0.000 Bohr magnetons per cell



(y)
Compound: GdMo
Source: the Open Quantum Materials Database
Functional: PBE-GGA
Structure: relaxed

abc: 5.032 5.032 5.731
angles: 90.00 90.00 120.00
Fractional coordinates of all 4 atoms:
Gd 0.333 0.667 0.437
Gd 0.000 0.000 0.937
Mo 0.000 0.000 0.438
Mo 0.333 0.667 0.938

## Properties
Space-group type ... No. 194
Calculated volume ... 125.6 Å³/cell
Total moment ... 4.182 Bohr magnetons per cell



How do the energies compare? Relative to the most stable structure, in meV/atom: (w) 591; (x) 0; (y) 1145.



(w)
Compound: GdPaNO
Source: the Open Quantum Materials Database
Functional: PBE-GGA
Structure: relaxed

abc: 4.259 4.259 8.132
angles: 90.00 90.00 90.00
Fractional coordinates of all 8 atoms:
Gd 0.000 0.500 0.111
Gd 0.500 0.000 0.889
N 0.500 0.000 0.367
N 0.000 0.500 0.633
O 0.000 0.000 0.000
O 0.500 0.500 0.000
Pa 0.000 0.000 0.500
Pa 0.500 0.500 0.500

## Properties
Space-group type ... No. 129
Calculated volume ... 147.5 Å³/cell
Total moment ... 0.007 Bohr magnetons per cell



(x)
Compound: GdPaNO
Source: the Open Quantum Materials Database
Functional: PBE-GGA
Structure: relaxed

abc: 3.851 6.070 6.546
angles: 90.00 90.00 90.00
Fractional coordinates of all 8 atoms:
Gd 0.500 0.000 0.172
Gd 0.500 0.500 0.828
N 0.000 0.869 0.344
N 0.000 0.369 0.656
O 0.500 0.384 0.169
O 0.500 0.884 0.831
Pa 0.000 0.501 0.333
Pa 0.000 0.001 0.667

## Properties
Space-group type ... No. 26
Calculated volume ... 153.0 Å³/cell
Total moment ... 2.784 Bohr magnetons per cell



How do the energies compare? Relative to the most stable structure, in meV/atom: (w) 195; (x) 0.



(w)
Compound: RbGdNO
Source: the Open Quantum Materials Database
Functional: PBE-GGA
Structure: relaxed

abc: 4.002 6.360 7.559
angles: 90.00 90.00 90.00
Fractional coordinates of all 8 atoms:
Gd 0.500 0.003 0.148
Gd 0.500 0.503 0.852
N 0.000 0.939 0.289
N 0.000 0.439 0.711
O 0.500 0.337 0.100
O 0.500 0.837 0.900
Rb 0.000 0.475 0.331
Rb 0.000 0.975 0.669

## Properties
Space-group type ... No. 26
Calculated volume ... 192.4 Å³/cell
Total moment ... 2.000 Bohr magnetons per cell



(x)
Compound: RbGdNO
Source: the Open Quantum Materials Database
Functional: PBE-GGA
Structure: relaxed

abc: 3.735 6.697 7.572
angles: 90.00 90.00 90.00
Fractional coordinates of all 8 atoms:
Gd 0.000 0.494 0.334
Gd 0.000 0.994 0.666
N 0.000 0.822 0.409
N 0.000 0.322 0.591
O 0.500 0.435 0.193
O 0.500 0.935 0.807
Rb 0.500 0.004 0.171
Rb 0.500 0.504 0.829

## Properties
Space-group type ... No. 26
Calculated volume ... 189.4 Å³/cell
Total moment ... 2.003 Bohr magnetons per cell



How do the energies compare? Relative to the most stable structure, in meV/atom: (w) 0; (x) 9.



(w)
Compound: RbGdNO
Source: the Open Quantum Materials Database
Functional: PBE-GGA
Structure: relaxed

abc: 4.048 4.048 8.961
angles: 90.00 90.00 90.00
Fractional coordinates of all 8 atoms:
Gd 0.250 0.250 0.117
Gd 0.750 0.750 0.883
N 0.750 0.750 0.283
N 0.250 0.250 0.717
O 0.750 0.250 0.000
O 0.250 0.750 0.000
Rb 0.750 0.250 0.500
Rb 0.250 0.750 0.500

## Properties
Space-group type ... No. 129
Calculated volume ... 146.9 Å³/cell
Total moment ... 2.000 Bohr magnetons per cell



(x)
Compound: RbGdNO
Source: the Open Quantum Materials Database
Functional: PBE-GGA
Structure: relaxed

abc: 4.663 4.663 9.729
angles: 90.00 90.00 90.00
Fractional coordinates of all 8 atoms:
Gd 0.000 0.000 0.500
Gd 0.500 0.500 0.500
N 0.000 0.500 0.455
N 0.500 0.000 0.545
O 0.000 0.000 0.000
O 0.500 0.500 0.000
Rb 0.000 0.500 0.134
Rb 0.500 0.000 0.866

## Properties
Space-group type ... No. 129
Calculated volume ... 211.5 Å³/cell
Total moment ... 2.003 Bohr magnetons per cell



How do the energies compare? Relative to the most stable structure, in meV/atom: (w) 0; (x) 140.